Density functional theory data (PBE) for crystalline AgAuCl2 at its relaxed geometry.

Properties
* excess energy over the best structure of this formula in the dataset: 231.7 meV/atom
* uncorrected formation energy: -0.295 eV per formula unit
* raw total energy: -2.53 eV/atom
* volume: 23.335 Å³/atom

Cell: 3.8361 3.8361 7.2376 Å, 90.00 90.00 118.79°
Closest atoms and distances in Å follow each position.
Fractional coordinates of all 4 atoms:
Ag (0.5000, 0.5000, 0.2500)  4 Cl 2.68
Cl (0.0000, 0.0000, 0.5028)  2 Au 2.65, 2 Ag 2.68
Cl (0.0000, 0.0000, 0.9972)  2 Au 2.65, 2 Ag 2.68
Au (0.5000, 0.5000, 0.7500)  4 Cl 2.65

***

Density functional theory data (PBE) for crystalline AgAuCl2 at its relaxed geometry.

Properties
* excess energy over the best structure of this formula in the dataset: 179.0 meV/atom
* uncorrected formation energy: -0.506 eV per formula unit
* raw total energy: -2.58 eV/atom
* volume: 24.937 Å³/atom

Cell: 3.7316 3.7316 8.1797 Å, 90.00 90.00 118.87°
Closest atoms and distances in Å follow each position.
Fractional coordinates of all 4 atoms:
Cl (0.5000, 0.5000, 0.3201)  2 Ag 2.45
Cl (0.0000, 0.0000, 0.9302)  2 Au 2.45
Ag (0.0000, 0.0000, 0.5090)  2 Cl 2.45, 2 Au 2.68
Au (0.5000, 0.5000, 0.7408)  2 Cl 2.45, 2 Ag 2.68

***

Density functional theory data (PBE) for crystalline AgAuCl2 at its relaxed geometry.

Properties
* excess energy over the best structure of this formula in the dataset: 219.4 meV/atom
* uncorrected formation energy: -0.344 eV per formula unit
* raw total energy: -2.54 eV/atom
* volume: 23.458 Å³/atom

Cell: 3.7849 6.6687 3.7175 Å, 90.00 90.00 90.00°
Closest atoms and distances in Å follow each position.
Fractional coordinates of all 4 atoms:
Ag (0.5000, 0.0000, 0.5000)  4 Cl 2.65
Cl (0.0000, 0.0000, 0.0000)  4 Ag 2.65
Cl (0.5000, 0.5000, 0.0000)  4 Au 2.65
Au (0.0000, 0.5000, 0.5000)  4 Cl 2.65

***

Density functional theory data (PBE) for crystalline AgAu3Cl at its relaxed geometry.

Properties
* excess energy over the best structure of this formula in the dataset: 0.0 meV/atom
* uncorrected formation energy: 4.028 eV per formula unit
* raw total energy: -2.10 eV/atom
* volume: 27.206 Å³/atom

Cell: 5.1429 5.1429 5.1429 Å, 90.00 90.00 90.00°
Closest atoms and distances in Å follow each position.
Fractional coordinates of all 5 atoms:
Au (0.0000, 0.0000, 0.5000)  2 Ag 2.57
Au (0.5000, 0.0000, 0.0000)  2 Ag 2.57
Au (0.0000, 0.5000, 0.0000)  2 Ag 2.57
Ag (0.0000, 0.0000, 0.0000)  6 Au 2.57
Cl (0.5000, 0.5000, 0.5000)  12 Au 3.64

***

Density functional theory data (PBE) for crystalline AgAu3Cl at its relaxed geometry.

Properties
* excess energy over the best structure of this formula in the dataset: 130.6 meV/atom
* uncorrected formation energy: 4.681 eV per formula unit
* raw total energy: -1.97 eV/atom
* volume: 24.585 Å³/atom

Cell: 4.9722 4.9722 4.9722 Å, 90.00 90.00 90.00°
Closest atoms and distances in Å follow each position.
Fractional coordinates of all 5 atoms:
Au (0.0000, 0.0000, 0.5000)  2 Cl 2.49
Au (0.0000, 0.5000, 0.0000)  2 Cl 2.49
Au (0.5000, 0.0000, 0.0000)  2 Cl 2.49
Ag (0.5000, 0.5000, 0.5000)  12 Au 3.52
Cl (0.0000, 0.0000, 0.0000)  6 Au 2.49

***

Density functional theory data (PBE) for crystalline Ag2Au2Cl at its relaxed geometry.

Properties
* excess energy over the best structure of this formula in the dataset: 223.9 meV/atom
* uncorrected formation energy: 1.086 eV per formula unit
* raw total energy: -2.60 eV/atom
* volume: 21.316 Å³/atom

Cell: 3.9767 3.9767 7.3025 Å, 74.20 74.20 90.00°
Closest atoms and distances in Å follow each position.
Fractional coordinates of all 5 atoms:
Ag (0.2500, 0.7500, 0.5000)  4 Ag 2.81, 4 Au 2.81
Ag (0.7500, 0.2500, 0.5000)  4 Ag 2.81, 4 Au 2.81
Au (0.3976, 0.3976, 0.2048)  1 Au 2.76, 4 Ag 2.81
Au (0.6024, 0.6024, 0.7952)  1 Au 2.76, 4 Ag 2.81
Cl (0.0000, 0.0000, 0.0000)  8 Au 3.13

***

Density functional theory data (PBE) for crystalline Ag2AuCl6 at its relaxed geometry.

Properties
* excess energy over the best structure of this formula in the dataset: 0.0 meV/atom
* uncorrected formation energy: -3.112 eV per formula unit
* raw total energy: -2.57 eV/atom
* volume: 29.252 Å³/atom

Cell: 6.7049 6.8583 11.8279 Å, 90.00 104.51 90.00°
Closest atoms and distances in Å follow each position.
Fractional coordinates of all 18 atoms:
Ag (0.5263, 0.1494, 0.6654)  4 Cl 2.45-2.69
Ag (0.0263, 0.3506, 0.1654)  4 Cl 2.45-2.69
Ag (0.4737, 0.8506, 0.3346)  4 Cl 2.45-2.69
Ag (0.9737, 0.6494, 0.8346)  4 Cl 2.45-2.69
Cl (0.1938, 0.3312, 0.9225)  1 Au 2.34
Cl (0.8062, 0.6688, 0.0775)  1 Au 2.34
Cl (0.6938, 0.1688, 0.4225)  1 Au 2.34
Cl (0.8386, 0.9751, 0.7661)  2 Ag 2.45-2.47
Cl (0.1614, 0.0249, 0.2339)  2 Ag 2.45-2.47
Cl (0.3257, 0.7888, 0.9349)  1 Au 2.33, 1 Ag 2.55
Cl (0.1743, 0.2888, 0.5651)  1 Au 2.33, 1 Ag 2.55
Cl (0.6614, 0.4751, 0.7339)  2 Ag 2.45-2.47
Cl (0.3062, 0.8312, 0.5775)  1 Au 2.34
Cl (0.3386, 0.5249, 0.2661)  2 Ag 2.45-2.47
Cl (0.6743, 0.2112, 0.0651)  1 Au 2.33, 1 Ag 2.55
Cl (0.8257, 0.7112, 0.4349)  1 Au 2.33, 1 Ag 2.55
Au (0.5000, 0.5000, 0.0000)  4 Cl 2.33-2.34
Au (0.0000, 0.0000, 0.5000)  4 Cl 2.33-2.34

***

Density functional theory data (PBE) for crystalline AgAuCl2 at its relaxed geometry.

Properties
* excess energy over the best structure of this formula in the dataset: 225.8 meV/atom
* uncorrected formation energy: -0.319 eV per formula unit
* raw total energy: -2.54 eV/atom
* volume: 23.207 Å³/atom

Cell: 5.2672 5.2672 5.2672 Å, 136.55 103.24 92.58°
Closest atoms and distances in Å follow each position.
Fractional coordinates of all 4 atoms:
Cl (0.4934, 0.4934, 0.0000)  2 Au 2.63, 2 Ag 2.70
Cl (0.0066, 0.0066, 0.0000)  2 Au 2.63, 2 Ag 2.70
Au (0.2500, 0.7500, 0.5000)  4 Cl 2.63
Ag (0.7500, 0.2500, 0.5000)  4 Cl 2.70